Here is a geometry-optimized SmCoPO structure from OQMD. Energies are from GGA+U.

The structure in CIF format:
```
data_SmCoPO
_space_group_name_H-M_alt 'R -3 m'
_space_group_IT_number 166
_space_group_name_Hall '-R 3 2"'
_cell_length_a 3.8164
_cell_length_b 3.8164
_cell_length_c 30.3593
_cell_angle_alpha 90.00
_cell_angle_beta 90.00
_cell_angle_gamma 120.00
loop_
_atom_site_label
_atom_site_fract_x
_atom_site_fract_y
_atom_site_fract_z
_atom_site_occupancy
Sm1 0.0000 0.0000 0.1163 1
Co1 0.0000 0.0000 0.3060 1
P1 0.0000 0.0000 0.3800 1
O1 0.0000 0.0000 0.1952 1
```

Excess energy over the best structure of this formula in the dataset, meV/atom: 118.3
Theoretical density, Mg/m³: 6.7